1.
Below is crystalline HgPtAu2 at its relaxed geometry, with properties calculated at the GGA-PBEsol level.

Total magnetic moment ... 0.00 μB per cell
D(E_F) ... 0.7 states/eV per cell
Energy of formation from the pure elements ... -0.3 kcal/mol of atoms

a b c (Å): 4.0740 4.0740 4.1164
angles (deg): 90.00 90.00 90.00
Positions (direct):
Au: 0.0000 0.5000 0.0000
Au: 0.5000 0.0000 0.0000
Pt: 0.0000 0.0000 0.5000
Hg: 0.5000 0.5000 0.5000

2.
Below is crystalline ZrSbRu2 at its relaxed geometry, with properties calculated at the GGA-PBEsol level.

Total magnetic moment ... 0.00 μB per cell
D(E_F) ... 1.4 states/eV per cell
Energy relative to the elements, uncorrected ... -1.7 eV/f.u.

a b c (Å): 3.4886 4.3487 4.3487
angles (deg): 90.00 90.00 90.00
Positions (direct):
Ru: 0.0000 0.0000 0.5000
Ru: 0.0000 0.5000 0.0000
Zr: 0.5000 0.0000 0.0000
Sb: 0.5000 0.5000 0.5000